## CeHo3Tm2Te6 (GGA-PBE)

Data for a relaxed CeHo3Tm2Te6 crystal.

**SG**: C2/m
**Fermi-level density of states**: 1.0193 states/eV/atom
**Electronic total energy**: -5.199 eV/atom
**E_form (uncorrected)**: -1244 meV/atom
**Spin magnetization**: 1.3 μB/cell

a b c (Å): 4.313 8.773 9.707
angles (deg): 102.25 102.84 90.00
Site moments in Bohr magnetons follow the coordinates.
Fractional positions:
Te 0.002 0.260 0.005  0.00
Te 0.998 0.740 0.995  0.00
Te 0.673 0.090 0.345  0.00
Te 0.331 0.417 0.662  0.00
Te 0.327 0.910 0.655  0.00
Te 0.669 0.583 0.338  0.00
Ho 0.161 0.835 0.321  0.03
Ho 0.500 0.500 0.000  0.01
Ho 0.839 0.165 0.679  0.03
Ce 0.500 0.000 0.000  0.94
Tm 0.836 0.670 0.672  0.01
Tm 0.164 0.330 0.328  0.01